[1]
This record from Alexandria via LeMat-Bulk describes crystalline SiAgF6 at its relaxed geometry. The functional is PBE.

Values from the calculation:
**Final energy**: -4.6878 eV per atom

Cell lengths 5.767, 5.033, 5.033 Å; angles 63.06, 97.39, 82.61 degrees
Fractional positions:
F  0.153  0.274  0.767
F  0.804  0.314  0.004
F  0.196  0.728  0.037
F  0.196  0.004  0.314
F  0.847  0.767  0.274
F  0.804  0.037  0.728
Si  0.000  0.021  0.021
Ag  0.500  0.021  0.021


[2]
This record from Alexandria via LeMat-Bulk describes crystalline RbPPt3Pb at its relaxed geometry. The functional is PBE.

Values from the calculation:
**Calculated formation energy**: -0.3009 eV/atom
**Final energy**: -5.0023 eV per atom

Cell lengths 6.257, 7.193, 7.769 Å; angles 62.42, 90.00, 90.00 degrees
Fractional positions:
Pt  0.000  0.802  0.000
Pt  0.500  0.802  0.000
Pt  0.000  0.198  0.000
Pt  0.500  0.198  0.000
Pt  0.750  0.231  0.539
Pt  0.250  0.769  0.461
P  0.750  0.071  0.858
P  0.250  0.929  0.142
Pb  0.750  0.428  0.144
Pb  0.250  0.572  0.856
Rb  0.750  0.751  0.499
Rb  0.250  0.249  0.501


[3]
This record from Alexandria via LeMat-Bulk describes crystalline LiCoBr at its relaxed geometry. The functional is PBE.

Values from the calculation:
**Final energy**: -3.4894 eV per atom

Cell lengths 4.018, 4.018, 3.515 Å; angles 90.00, 90.00, 120.00 degrees
Fractional positions:
Br  0.000  0.000  0.167
Co  0.667  0.333  0.167
Li  0.333  0.667  0.666


[4]
This record from Alexandria via LeMat-Bulk describes crystalline CdCu3 at its relaxed geometry. The functional is PBE.

Values from the calculation:
**Calculated formation energy**: 0.0705 eV/atom
**Final energy**: -3.2304 eV per atom

Cell lengths 3.834, 3.834, 3.837 Å; angles 90.00, 90.00, 90.00 degrees
Fractional positions:
Cu  0.500  0.500  0.000
Cu  0.000  0.500  0.500
Cu  0.500  0.000  0.500
Cd  0.000  0.000  0.000